A.
Below is crystalline GeSbPI2 at its relaxed geometry, with properties calculated at the GGA-PBE level.

Cell lengths 5.6215, 5.6215, 5.7196 Å; angles 90.00, 90.00, 90.00 degrees
Closest atoms and distances in Å follow each position.
Element x y z (fractional)
Ge: 0.0000 0.0000 0.0000  4 I 2.81, 2 Sb 2.86
Sb: 0.0000 0.0000 0.5000  2 Ge 2.86
P: 0.5000 0.5000 0.5000  4 Sb 3.97, 8 I 4.01
I: 0.0000 0.5000 0.0000  2 Ge 2.81
I: 0.5000 0.0000 0.0000  2 Ge 2.81



B.
Below is crystalline GeSbPI2 at its relaxed geometry, with properties calculated at the GGA-PBE level.

Cell lengths 5.3271, 5.3271, 5.5124 Å; angles 90.00, 90.00, 90.00 degrees
Closest atoms and distances in Å follow each position.
Element x y z (fractional)
I: 0.0000 0.5000 0.0000  2 P 2.66
Ge: 0.5000 0.5000 0.5000  4 Sb 3.77, 8 I 3.83
Sb: 0.0000 0.0000 0.5000  2 P 2.76
P: 0.0000 0.0000 0.0000  4 I 2.66, 2 Sb 2.76
I: 0.5000 0.0000 0.0000  2 P 2.66



Which structure is most stable, and how do the rest compare? From most to least stable: B, A.